[1]
# PBE MnTl2Rh, relaxed
data_MnTl2Rh
_chemical_formula_sum 'Mn1 Tl2 Rh1'
_symmetry_space_group_name_H-M 'P m m 2'
_symmetry_Int_Tables_number 25
_cell_length_a 3.188
_cell_length_b 3.256
_cell_length_c 8.020
_cell_angle_alpha 90.00
_cell_angle_beta 90.00
_cell_angle_gamma 90.00
loop_
_symmetry_equiv_pos_as_xyz
'x,y,z'
'-x,-y,z'
'-x,y,z'
'x,-y,z'
loop_
_atom_site_label
_atom_site_fract_x
_atom_site_fract_y
_atom_site_fract_z
_atom_site_occupancy
Mn1 0.000 0.000 0.000 1
Tl1 0.000 0.000 0.402 1
Tl2 0.500 0.500 0.746 1
Rh1 0.500 0.500 0.163 1
# * DOS(E_F): 2.05 states/eV/cell
# * crystal system: orthorhombic
# * total magnetization: 4.3 μB per cell
# * offset from the most stable computed form: 0.000 kcal/mol of atoms
# * final energy: -5.140 eV per atom
# * DFT formation energy: 0.17 eV per atom

[2]
# PBE Na4BeSn3O8, relaxed
data_Na4BeSn3O8
_chemical_formula_sum 'Na8 Be2 Sn6 O16'
_symmetry_space_group_name_H-M 'C 1 2/m 1'
_symmetry_Int_Tables_number 12
_cell_length_a 11.837
_cell_length_b 6.390
_cell_length_c 6.428
_cell_angle_alpha 90.00
_cell_angle_beta 121.40
_cell_angle_gamma 90.00
loop_
_symmetry_equiv_pos_as_xyz
'x,y,z'
'-x,-y,-z'
'-x,y,-z'
'x,-y,z'
'x+1/2,y+1/2,z'
'-x+1/2,-y+1/2,-z'
'-x+1/2,y+1/2,-z'
'x+1/2,-y+1/2,z'
loop_
_atom_site_label
_atom_site_fract_x
_atom_site_fract_y
_atom_site_fract_z
_atom_site_occupancy
Na1 0.000 0.000 0.000 1
Na2 0.000 0.500 0.000 1
Na3 0.250 0.250 0.000 1
Be1 0.000 0.000 0.500 1
Sn1 0.000 0.500 0.500 1
Sn2 0.250 0.250 0.500 1
O1 0.043 0.202 0.347 1
O2 0.221 0.500 0.253 1
O3 0.249 0.000 0.272 1
# * DOS(E_F): 2.64 states/eV/cell
# * crystal system: monoclinic
# * total magnetization: 0.0 μB per cell
# * final energy: -5.320 eV per atom
# * uncorrected formation energy: -1.527 eV/atom

Q: Look up the total magnetization of the first one.
A: 4.3 μB per cell

Q: Which value of DOS(E_F) does entry 2 give?
A: 2.64 states/eV/cell